Entry 1:
Computed, not measured: an optimized crystal structure of Li5Cr2Ni5O12 at the GGA+U level of DFT.

volume: 8.94 Å³/atom
total magnetic moment: 5.0 μB/f.u.
raw total energy: -5.533 eV per atom

Cell lengths 5.110, 5.110, 9.730 Å; angles 94.97, 94.97, 120.88 degrees
Sites, in units of the cell vectors:
Li 0.000 0.000 0.000
Li 0.249 0.242 0.757
Li 0.412 0.081 0.244
Li 0.758 0.751 0.243
Li 0.919 0.588 0.756
Cr 0.333 0.667 0.000
Cr 0.837 0.163 0.500
Ni 0.081 0.406 0.245
Ni 0.168 0.832 0.500
Ni 0.507 0.493 0.500
Ni 0.594 0.919 0.755
Ni 0.663 0.337 0.000
O 0.056 0.691 0.122
O 0.112 0.127 0.380
O 0.194 0.519 0.613
O 0.309 0.944 0.878
O 0.376 0.397 0.119
O 0.481 0.806 0.387
O 0.563 0.197 0.619
O 0.603 0.624 0.881
O 0.684 0.028 0.114
O 0.803 0.437 0.381
O 0.873 0.888 0.620
O 0.972 0.316 0.886



Entry 2:
Computed, not measured: an optimized crystal structure of Li5Cr3NiO8 at the GGA+U level of DFT.

volume: 9.00 Å³/atom
total magnetic moment: 11.0 μB/f.u.
raw total energy: -6.235 eV per atom

Cell lengths 8.490, 8.490, 8.490 Å; angles 90.00, 90.00, 90.00 degrees
Sites, in units of the cell vectors:
Li 0.054 0.054 0.054
Li 0.112 0.862 0.875
Li 0.125 0.612 0.638
Li 0.138 0.375 0.388
Li 0.196 0.196 0.196
Li 0.304 0.804 0.696
Li 0.362 0.625 0.888
Li 0.375 0.388 0.138
Li 0.388 0.138 0.375
Li 0.446 0.946 0.554
Li 0.554 0.446 0.946
Li 0.612 0.638 0.125
Li 0.625 0.888 0.362
Li 0.638 0.125 0.612
Li 0.696 0.304 0.804
Li 0.804 0.696 0.304
Li 0.862 0.875 0.112
Li 0.875 0.112 0.862
Li 0.888 0.362 0.625
Li 0.946 0.554 0.446
Cr 0.123 0.625 0.127
Cr 0.125 0.373 0.877
Cr 0.127 0.123 0.625
Cr 0.373 0.877 0.125
Cr 0.375 0.627 0.377
Cr 0.377 0.375 0.627
Cr 0.623 0.875 0.873
Cr 0.625 0.127 0.123
Cr 0.627 0.377 0.375
Cr 0.873 0.623 0.875
Cr 0.875 0.873 0.623
Cr 0.877 0.125 0.373
Ni 0.125 0.875 0.375
Ni 0.375 0.125 0.875
Ni 0.625 0.625 0.625
Ni 0.875 0.375 0.125
O 0.114 0.883 0.625
O 0.116 0.616 0.884
O 0.117 0.125 0.386
O 0.125 0.133 0.864
O 0.125 0.386 0.117
O 0.133 0.864 0.125
O 0.134 0.366 0.634
O 0.136 0.625 0.367
O 0.364 0.375 0.867
O 0.366 0.634 0.134
O 0.367 0.136 0.625
O 0.375 0.614 0.617
O 0.375 0.867 0.364
O 0.383 0.875 0.886
O 0.384 0.384 0.384
O 0.386 0.117 0.125
O 0.614 0.617 0.375
O 0.616 0.884 0.116
O 0.617 0.375 0.614
O 0.625 0.114 0.883
O 0.625 0.367 0.136
O 0.633 0.636 0.875
O 0.634 0.134 0.366
O 0.636 0.875 0.633
O 0.864 0.125 0.133
O 0.866 0.866 0.866
O 0.867 0.364 0.375
O 0.875 0.633 0.636
O 0.875 0.886 0.383
O 0.883 0.625 0.114
O 0.884 0.116 0.616
O 0.886 0.383 0.875



Entry 3:
Computed, not measured: an optimized crystal structure of Li4Cr3NiO8 at the GGA+U level of DFT.

volume: 9.13 Å³/atom
total magnetic moment: 10.0 μB/f.u.
relative energy among the computed polymorphs: 0.1 kJ per mole of atoms
raw total energy: -6.400 eV per atom

Cell lengths 5.923, 5.923, 5.105 Å; angles 106.83, 106.83, 59.95 degrees
Sites, in units of the cell vectors:
Li 0.000 0.500 0.500
Li 0.249 0.249 0.002
Li 0.500 0.000 0.500
Li 0.751 0.751 0.998
Cr 0.249 0.751 0.000
Cr 0.500 0.500 0.500
Cr 0.751 0.249 0.000
Ni 0.000 0.000 0.500
O 0.115 0.115 0.235
O 0.154 0.622 0.260
O 0.378 0.846 0.740
O 0.387 0.387 0.753
O 0.613 0.613 0.247
O 0.622 0.154 0.260
O 0.846 0.378 0.740
O 0.885 0.885 0.765



Entry 4:
Computed, not measured: an optimized crystal structure of Li2Cr3NiO8 at the GGA+U level of DFT.

volume: 10.37 Å³/atom
total magnetic moment: 8.0 μB/f.u.
relative energy among the computed polymorphs: 0.7 kJ per mole of atoms
raw total energy: -6.560 eV per atom

Cell lengths 8.347, 8.347, 8.336 Å; angles 90.00, 90.00, 90.00 degrees
Sites, in units of the cell vectors:
Li 0.002 0.248 0.000
Li 0.248 0.998 0.250
Li 0.250 0.502 0.751
Li 0.498 0.250 0.501
Li 0.502 0.750 0.001
Li 0.750 0.498 0.251
Li 0.752 0.002 0.750
Li 0.998 0.752 0.500
Cr 0.122 0.131 0.622
Cr 0.128 0.621 0.121
Cr 0.131 0.878 0.872
Cr 0.374 0.619 0.371
Cr 0.379 0.128 0.871
Cr 0.381 0.374 0.121
Cr 0.619 0.626 0.621
Cr 0.621 0.872 0.371
Cr 0.626 0.381 0.871
Cr 0.869 0.122 0.372
Cr 0.872 0.379 0.621
Cr 0.878 0.869 0.122
Ni 0.125 0.374 0.376
Ni 0.374 0.875 0.626
Ni 0.626 0.125 0.126
Ni 0.875 0.626 0.876
O 0.106 0.121 0.399
O 0.110 0.357 0.624
O 0.115 0.640 0.891
O 0.116 0.858 0.109
O 0.121 0.894 0.649
O 0.142 0.116 0.859
O 0.143 0.397 0.128
O 0.148 0.634 0.354
O 0.357 0.890 0.874
O 0.360 0.115 0.641
O 0.366 0.148 0.104
O 0.366 0.606 0.133
O 0.369 0.393 0.359
O 0.393 0.631 0.609
O 0.394 0.366 0.883
O 0.397 0.857 0.378
O 0.603 0.143 0.878
O 0.606 0.634 0.383
O 0.607 0.369 0.109
O 0.631 0.607 0.859
O 0.634 0.394 0.633
O 0.634 0.852 0.604
O 0.640 0.885 0.141
O 0.643 0.110 0.374
O 0.852 0.366 0.854
O 0.857 0.603 0.628
O 0.858 0.884 0.359
O 0.879 0.106 0.149
O 0.884 0.142 0.609
O 0.885 0.360 0.391
O 0.890 0.643 0.124
O 0.894 0.879 0.899



Entry 5:
Computed, not measured: an optimized crystal structure of Li3CrNi3O8 at the GGA+U level of DFT.

volume: 9.36 Å³/atom
total magnetic moment: 5.0 μB/f.u.
raw total energy: -5.385 eV per atom

Cell lengths 5.828, 5.828, 5.847 Å; angles 119.59, 119.59, 59.17 degrees
Sites, in units of the cell vectors:
Li 0.000 0.000 0.000
Li 0.000 0.500 0.000
Li 0.500 0.000 0.000
Cr 0.500 0.500 0.500
Ni 0.000 0.000 0.500
Ni 0.000 0.500 0.500
Ni 0.500 0.000 0.500
O 0.225 0.225 0.703
O 0.239 0.760 0.721
O 0.240 0.761 0.279
O 0.269 0.269 0.277
O 0.731 0.731 0.723
O 0.760 0.239 0.721
O 0.761 0.240 0.279
O 0.775 0.775 0.297



Entry 6:
Computed, not measured: an optimized crystal structure of Li4Cr3NiP4O16 at the GGA+U level of DFT.

volume: 10.88 Å³/atom
total magnetic moment: 14.0 μB/f.u.
raw total energy: -6.913 eV per atom

Cell lengths 4.766, 6.260, 10.212 Å; angles 90.00, 90.44, 90.00 degrees
Sites, in units of the cell vectors:
Li 0.000 0.247 0.000
Li 0.000 0.753 0.000
Li 0.510 0.249 0.503
Li 0.510 0.751 0.503
Cr 0.056 0.500 0.721
Cr 0.453 0.500 0.216
Cr 0.955 0.000 0.285
Ni 0.529 0.000 0.780
P 0.093 0.000 0.598
P 0.417 0.000 0.092
P 0.589 0.500 0.907
P 0.922 0.500 0.409
O 0.201 0.000 0.454
O 0.236 0.196 0.667
O 0.236 0.804 0.667
O 0.246 0.500 0.401
O 0.264 0.500 0.902
O 0.284 0.198 0.160
O 0.284 0.802 0.160
O 0.303 0.000 0.948
O 0.702 0.500 0.051
O 0.719 0.298 0.840
O 0.719 0.702 0.840
O 0.742 0.000 0.101
O 0.770 0.000 0.606
O 0.786 0.301 0.342
O 0.786 0.699 0.342
O 0.815 0.500 0.553